{
  "formula": "LaTaAg2",
  "functional": "PBE",
  "state": "relaxed",
  "e_tot_ev_per_cell": -21.30,
  "delta_e_f_ev_per_atom": 0.297,
  "e_above_lowest_polymorph_mev_per_atom": 72,
  "magmom_total_mub_per_fu": 0.00,
  "cell": [[3.001, 0.000, 0.000], [0.000, 4.354, 0.000], [0.000, 0.000, 6.636]],
  "species": ["La", "Ta", "Ag", "Ag"],
  "frac_coords": [[0.000, 0.000, 0.000], [0.000, 0.000, 0.500], [0.500, 0.500, 0.290], [0.500, 0.500, 0.710]]
}

=====

{
  "formula": "LaTaAg",
  "functional": "PBE",
  "state": "relaxed",
  "e_tot_ev_per_cell": -67.05,
  "delta_e_f_ev_per_atom": 0.956,
  "e_above_lowest_polymorph_mev_per_atom": 653,
  "magmom_total_mub_per_fu": 0.76,
  "cell": [[6.750, 0.000, 0.000], [0.000, 6.750, 0.000], [0.000, 0.000, 6.750]],
  "species": ["La", "La", "La", "La", "Ta", "Ta", "Ta", "Ta", "Ag", "Ag", "Ag", "Ag"],
  "frac_coords": [[0.000, 0.000, 0.000], [0.000, 0.500, 0.500], [0.500, 0.000, 0.500], [0.500, 0.500, 0.000], [0.250, 0.250, 0.750], [0.250, 0.750, 0.250], [0.750, 0.250, 0.250], [0.750, 0.750, 0.750], [0.000, 0.000, 0.500], [0.000, 0.500, 0.000], [0.500, 0.000, 0.000], [0.500, 0.500, 0.500]]
}

=====

{
  "formula": "LaTaAg",
  "functional": "PBE",
  "state": "relaxed",
  "e_tot_ev_per_cell": -61.78,
  "delta_e_f_ev_per_atom": 1.395,
  "e_above_lowest_polymorph_mev_per_atom": 1092,
  "magmom_total_mub_per_fu": 1.69,
  "cell": [[6.968, 0.000, 0.000], [0.000, 6.968, 0.000], [0.000, 0.000, 6.968]],
  "species": ["La", "La", "La", "La", "Ta", "Ta", "Ta", "Ta", "Ag", "Ag", "Ag", "Ag"],
  "frac_coords": [[0.000, 0.000, 0.000], [0.000, 0.500, 0.500], [0.500, 0.000, 0.500], [0.500, 0.500, 0.000], [0.250, 0.250, 0.250], [0.250, 0.750, 0.750], [0.750, 0.250, 0.750], [0.750, 0.750, 0.250], [0.250, 0.250, 0.750], [0.250, 0.750, 0.250], [0.750, 0.250, 0.250], [0.750, 0.750, 0.750]]
}

=====

{
  "formula": "LaTaAg2",
  "functional": "PBE",
  "state": "relaxed",
  "e_tot_ev_per_cell": -21.59,
  "delta_e_f_ev_per_atom": 0.224,
  "e_above_lowest_polymorph_mev_per_atom": 0,
  "magmom_total_mub_per_fu": 0.00,
  "cell": [[3.063, 0.000, 0.000], [0.000, 3.063, 0.000], [0.000, 0.000, 9.129]],
  "species": ["La", "Ta", "Ag", "Ag"],
  "frac_coords": [[0.000, 0.000, 0.000], [0.500, 0.500, 0.272], [0.000, 0.000, 0.493], [0.500, 0.500, 0.710]]
}

=====

{
  "formula": "LaTaAg2",
  "functional": "PBE",
  "state": "relaxed",
  "e_tot_ev_per_cell": -21.50,
  "delta_e_f_ev_per_atom": 0.245,
  "e_above_lowest_polymorph_mev_per_atom": 21,
  "magmom_total_mub_per_fu": 0.00,
  "cell": [[3.066, 0.000, 0.000], [0.000, 3.066, 0.000], [0.000, 0.000, 8.977]],
  "species": ["La", "Ta", "Ag", "Ag"],
  "frac_coords": [[0.000, 0.000, 0.000], [0.000, 0.000, 0.500], [0.500, 0.500, 0.281], [0.500, 0.500, 0.719]]
}

=====

{
  "formula": "LaTa3Ag",
  "functional": "PBE",
  "state": "relaxed",
  "e_tot_ev_per_cell": -35.14,
  "delta_e_f_ev_per_atom": 1.639,
  "e_above_lowest_polymorph_mev_per_atom": 0,
  "magmom_total_mub_per_fu": 1.28,
  "cell": [[5.035, 0.000, 0.000], [0.000, 5.035, 0.000], [0.000, 0.000, 5.035]],
  "species": ["La", "Ta", "Ta", "Ta", "Ag"],
  "frac_coords": [[0.000, 0.000, 0.000], [0.000, 0.500, 0.500], [0.500, 0.000, 0.500], [0.500, 0.500, 0.000], [0.500, 0.500, 0.500]]
}

=====

{
  "formula": "La2TaAg",
  "functional": "PBE",
  "state": "relaxed",
  "e_tot_ev_per_cell": -85.19,
  "delta_e_f_ev_per_atom": 0.815,
  "e_above_lowest_polymorph_mev_per_atom": 615,
  "magmom_total_mub_per_fu": 0.00,
  "cell": [[4.467, 0.000, 0.000], [0.000, 4.467, 0.000], [0.000, 0.000, 21.201]],
  "species": ["La", "La", "La", "La", "La", "La", "La", "La", "Ta", "Ta", "Ta", "Ta", "Ag", "Ag", "Ag", "Ag"],
  "frac_coords": [[0.243, 0.250, 0.125], [0.250, 0.743, 0.375], [0.250, 0.757, 0.875], [0.257, 0.250, 0.625], [0.743, 0.750, 0.625], [0.750, 0.243, 0.875], [0.750, 0.257, 0.375], [0.757, 0.750, 0.125], [0.000, 0.000, 0.000], [0.000, 0.500, 0.250], [0.500, 0.000, 0.750], [0.500, 0.500, 0.500], [0.000, 0.000, 0.500], [0.000, 0.500, 0.750], [0.500, 0.000, 0.250], [0.500, 0.500, 0.000]]
}

=====

{
  "formula": "LaTaAg",
  "functional": "PBE",
  "state": "relaxed",
  "e_tot_ev_per_cell": -18.05,
  "delta_e_f_ev_per_atom": 0.526,
  "e_above_lowest_polymorph_mev_per_atom": 223,
  "magmom_total_mub_per_fu": 0.00,
  "cell": [[5.088, 0.000, 0.000], [-2.544, 4.406, 0.000], [0.000, 0.000, 3.076]],
  "species": ["La", "Ta", "Ag"],
  "frac_coords": [[0.000, 0.000, 0.000], [0.667, 0.333, 0.500], [0.333, 0.667, 0.500]]
}

=====

{
  "formula": "LaTaAg2",
  "functional": "PBE",
  "state": "relaxed",
  "e_tot_ev_per_cell": -41.85,
  "delta_e_f_ev_per_atom": 0.389,
  "e_above_lowest_polymorph_mev_per_atom": 164,
  "magmom_total_mub_per_fu": 0.00,
  "cell": [[10.715, 0.000, 0.000], [0.000, 3.081, 0.000], [-1.105, 0.000, 5.309]],
  "species": ["La", "La", "Ta", "Ta", "Ag", "Ag", "Ag", "Ag"],
  "frac_coords": [[0.000, 0.000, 0.000], [0.500, 0.500, 0.000], [0.000, 0.500, 0.500], [0.500, 0.000, 0.500], [0.235, 0.000, 0.714], [0.265, 0.500, 0.286], [0.735, 0.500, 0.714], [0.765, 0.000, 0.286]]
}

=====

{
  "formula": "La2TaAg",
  "functional": "PBE",
  "state": "relaxed",
  "e_tot_ev_per_cell": -90.93,
  "delta_e_f_ev_per_atom": 0.457,
  "e_above_lowest_polymorph_mev_per_atom": 257,
  "magmom_total_mub_per_fu": 0.14,
  "cell": [[7.288, 0.000, 0.000], [0.000, 7.288, 0.000], [0.000, 0.000, 7.288]],
  "species": ["La", "La", "La", "La", "La", "La", "La", "La", "Ta", "Ta", "Ta", "Ta", "Ag", "Ag", "Ag", "Ag"],
  "frac_coords": [[0.000, 0.000, 0.000], [0.000, 0.500, 0.500], [0.250, 0.250, 0.250], [0.250, 0.750, 0.750], [0.500, 0.000, 0.500], [0.500, 0.500, 0.000], [0.750, 0.250, 0.750], [0.750, 0.750, 0.250], [0.250, 0.250, 0.750], [0.250, 0.750, 0.250], [0.750, 0.250, 0.250], [0.750, 0.750, 0.750], [0.000, 0.000, 0.500], [0.000, 0.500, 0.000], [0.500, 0.000, 0.000], [0.500, 0.500, 0.500]]
}

=====

{
  "formula": "La3TaAg",
  "functional": "PBE",
  "state": "relaxed",
  "e_tot_ev_per_cell": -26.96,
  "delta_e_f_ev_per_atom": 0.504,
  "e_above_lowest_polymorph_mev_per_atom": 0,
  "magmom_total_mub_per_fu": 0.00,
  "cell": [[5.634, 0.000, 0.000], [0.000, 5.634, 0.000], [0.000, 0.000, 5.634]],
  "species": ["La", "La", "La", "Ta", "Ag"],
  "frac_coords": [[0.000, 0.000, 0.500], [0.000, 0.500, 0.000], [0.500, 0.000, 0.000], [0.000, 0.000, 0.000], [0.500, 0.500, 0.500]]
}

=====

{
  "formula": "LaTaAg2",
  "functional": "PBE",
  "state": "relaxed",
  "e_tot_ev_per_cell": -20.92,
  "delta_e_f_ev_per_atom": 0.392,
  "e_above_lowest_polymorph_mev_per_atom": 168,
  "magmom_total_mub_per_fu": 0.00,
  "cell": [[4.469, 0.000, 0.000], [0.000, 4.469, 0.000], [0.000, 0.000, 4.361]],
  "species": ["La", "Ta", "Ag", "Ag"],
  "frac_coords": [[0.000, 0.000, 0.000], [0.500, 0.500, 0.000], [0.000, 0.500, 0.500], [0.500, 0.000, 0.500]]
}

=====

Q: What is the formula in the second record?
A: LaTaAg